Here is a relaxed structure of PdAuCl2 from Alexandria. Energies are from PBE.

Lattice parameters (Å, degrees): 8.4159 8.4159 8.4159 24.42 24.42 24.42
Fractional coordinates of all 4 atoms:
Pd 0.0000 0.0000 0.0000
Cl 0.9060 0.9060 0.9060
Cl 0.0940 0.0940 0.0940
Au 0.5000 0.5000 0.5000

relative energy among the computed polymorphs: 162 meV/atom
space-group type: No. 166

---

Here is a relaxed structure of PdAu2Cl6 from Alexandria. Energies are from PBE.

Lattice parameters (Å, degrees): 6.5750 9.6121 9.6121 71.67 66.80 66.80
Site moments in Bohr magnetons follow the coordinates.
Fractional coordinates of all 18 atoms:
Cl 0.3097 0.0288 0.1634  0.13
Cl 0.6903 0.9712 0.8366  0.13
Cl 0.2514 0.4857 0.2457  -0.01
Cl 0.1903 0.8366 0.9712  0.13
Au 0.1484 0.5402 0.6817  -0.02
Cl 0.7486 0.5143 0.7543  -0.01
Pd 0.7500 0.9201 0.0799  0.37
Cl 0.7514 0.2457 0.4857  -0.01
Cl 0.2486 0.7543 0.5143  -0.01
Cl 0.2361 0.1174 0.6674  0.01
Au 0.3516 0.3183 0.4598  -0.02
Cl 0.8097 0.1634 0.0288  0.13
Au 0.6484 0.6817 0.5402  -0.02
Cl 0.7639 0.8826 0.3326  0.01
Au 0.8516 0.4598 0.3183  -0.02
Cl 0.2639 0.3326 0.8826  0.01
Pd 0.2500 0.0799 0.9201  0.37
Cl 0.7361 0.6674 0.1174  0.01

relative energy among the computed polymorphs: 62 meV/atom
space-group type: No. 15

---

Here is a relaxed structure of PdAu2Cl from Alexandria. Energies are from PBE.

Lattice parameters (Å, degrees): 7.7742 7.7742 6.1011 50.42 50.42 90.00
Fractional coordinates of all 8 atoms:
Au 0.8750 0.8889 0.7500
Cl 0.5000 0.5000 0.0000
Au 0.1111 0.6250 0.2500
Au 0.6389 0.1250 0.2500
Au 0.3750 0.3611 0.7500
Pd 0.7500 0.2500 0.5000
Pd 0.0000 0.0000 0.0000
Cl 0.2500 0.7500 0.5000

relative energy among the computed polymorphs: 0 meV/atom
space-group type: No. 122

---

Here is a relaxed structure of Pd2AuCl from Alexandria. Energies are from PBE.

Lattice parameters (Å, degrees): 7.0735 7.0735 5.8004 52.43 52.43 90.00
Fractional coordinates of all 8 atoms:
Au 0.0000 0.0000 0.0000
Pd 0.8750 0.8521 0.7500
Pd 0.1479 0.6250 0.2500
Au 0.7500 0.2500 0.5000
Cl 0.5000 0.5000 0.0000
Cl 0.2500 0.7500 0.5000
Pd 0.6021 0.1250 0.2500
Pd 0.3750 0.3979 0.7500

relative energy among the computed polymorphs: 33 meV/atom
space-group type: No. 122

---

Here is a relaxed structure of Rb2PdAuCl from Alexandria. Energies are from PBE.

Lattice parameters (Å, degrees): 6.6671 4.8502 6.6671 90.00 90.00 90.00
Fractional coordinates of all 5 atoms:
Pd 0.5000 0.5000 0.5000
Rb 0.5000 0.0000 0.0000
Au 0.0000 0.0000 0.0000
Cl 0.0000 0.5000 0.0000
Rb 0.0000 0.0000 0.5000

space-group type: No. 123

---

Here is a relaxed structure of Rb2PdAuCl6 from Alexandria. Energies are from PBE.

Lattice parameters (Å, degrees): 7.1057 7.1057 7.3561 61.09 61.09 89.99
Fractional coordinates of all 10 atoms:
Cl 0.2209 0.2209 0.5584
Cl 0.7472 0.7470 0.0006
Rb 0.2499 0.7500 0.5000
Cl 0.7474 0.2525 0.0000
Cl 0.2528 0.2530 0.9994
Pd 0.0000 0.0000 0.0000
Rb 0.7501 0.2500 0.5000
Au 0.5000 0.5000 0.0000
Cl 0.2526 0.7475 0.0000
Cl 0.7791 0.7791 0.4417

space-group type: No. 139

---

Here is a relaxed structure of PdAuSCl2 from Alexandria. Energies are from PBE.

Lattice parameters (Å, degrees): 4.8215 4.8215 4.7434 90.00 90.00 90.00
Fractional coordinates of all 5 atoms:
S 0.0000 0.0000 0.5000
Cl 0.0000 0.5000 0.0000
Au 0.5000 0.5000 0.5000
Cl 0.5000 0.0000 0.0000
Pd 0.0000 0.0000 0.0000

relative energy among the computed polymorphs: 0 meV/atom
space-group type: No. 123

---

Here is a relaxed structure of PdAuSeCl2 from Alexandria. Energies are from PBE.

Lattice parameters (Å, degrees): 4.8402 5.3418 4.8402 90.00 90.00 90.00
Site moments in Bohr magnetons follow the coordinates.
Fractional coordinates of all 5 atoms:
Cl 0.5000 0.0000 0.0000  0.02
Pd 0.5000 0.5000 0.5000  0.41
Au 0.0000 0.0000 0.0000  -0.01
Se 0.0000 0.5000 0.0000  0.09
Cl 0.0000 0.0000 0.5000  0.01

space-group type: No. 123

---

The records above give, respectively, calculated total energy values of -11.566, -49.302, -24.815, -28.449, -12.243, -31.757, -14.640, -13.258 eV/cell.
The records above give, respectively, energy relative to the elements, uncorrected values of 0.149, -0.203, 0.297, 0.321, 0.002, -1.027, 0.330, 0.478 eV per atom.